(1)
The following is a DFT calculation (GGA-PBE) of a relaxed TiMoW2 crystal.

POSCAR file:
```
TiMoW2
1.0
-1.5884 2.2144 4.5416
1.5884 -2.2144 4.5416
1.5884 2.2144 -4.5416
Ti Mo W
1 1 2
direct
0.0000 0.0000 0.0000
0.5000 0.5000 0.0000
0.2566 0.7566 0.5000
0.7434 0.2434 0.5000
```

Summary:
Volume   15.974 A^3/atom
SG   No. 71
Formation enthalpy at 0 K   -0.1251 eV/atom
Crystal system   orthorhombic


(2)
The following is a DFT calculation (GGA-PBE) of a relaxed NdGd2F crystal.

POSCAR file:
```
NdGd2F
1.0
1.8284 1.0556 9.5516
-1.8284 1.0556 9.5516
0.0000 -2.1113 9.5516
Nd Gd F
1 2 1
direct
0.0000 0.0000 0.0000
0.1179 0.1179 0.1179
0.8821 0.8821 0.8821
0.5000 0.5000 0.5000
```

Summary:
Volume   27.654 A^3/atom
SG   No. 166
Formation energy without anion corrections   -3.670 eV/f.u.
Crystal system   trigonal


(3)
The following is a DFT calculation (GGA-PBE) of a relaxed SrLa8 crystal.

POSCAR file:
```
SrLa8
1.0
-5.6771 5.6771 2.6584
5.6771 -5.6771 2.6584
5.6771 5.6771 -2.6584
Sr La
1 8
direct
0.0000 0.0000 0.0000
0.0000 0.3366 0.3366
0.0000 0.6634 0.6634
0.3221 0.3221 0.6443
0.3221 0.6779 0.0000
0.3366 0.0000 0.3366
0.6634 0.0000 0.6634
0.6779 0.3221 0.0000
0.6779 0.6779 0.3557
```

Summary:
Volume   38.080 A^3/atom
SG   No. 139
Formation enthalpy at 0 K   0.0461 eV/atom
Crystal system   tetragonal